Version P
VASP calculation (PBE-GGA) on GaBPb2 after structural relaxation.

Cell: 5.029 5.029 5.029 Å, 60.00 60.00 60.00°
Fractional positions:
B: 0.000 0.000 0.000
Pb: 0.250 0.250 0.250
Pb: 0.750 0.750 0.750
Ga: 0.500 0.500 0.500

Computed properties:
* theoretical density: 9.137 g/cm3

***

Version Q
VASP calculation (PBE-GGA) on GaBPb2 after structural relaxation.

Cell: 6.165 6.165 7.105 Å, 64.29 64.29 90.00°
Fractional positions:
Pb: 0.375 0.439 0.750
B: 0.500 0.500 0.000
Pb: 0.561 0.125 0.250
Pb: 0.189 0.625 0.250
Pb: 0.875 0.811 0.750
B: 0.250 0.750 0.500
Ga: 0.750 0.250 0.500
Ga: 0.000 0.000 0.000

Computed properties:
* theoretical density: 7.708 g/cm3

***

Q: Which of them is the most stable? A: version Q.

***

Version P
VASP calculation (PBE-GGA) on Ga3BPb after structural relaxation.

Cell: 4.558 4.558 4.558 Å, 90.00 90.00 90.00°
Fractional positions:
B: 0.000 0.000 0.000
Pb: 0.500 0.500 0.500
Ga: 0.500 0.000 0.000
Ga: 0.000 0.500 0.000
Ga: 0.000 0.000 0.500

Computed properties:
* theoretical density: 7.489 g/cm3

***

Version Q
VASP calculation (PBE-GGA) on Ga3BPb after structural relaxation.

Cell: 5.519 5.519 5.519 Å, 90.00 90.00 90.00°
Fractional positions:
Ga: 0.000 0.000 0.500
Ga: 0.500 0.000 0.000
Pb: 0.000 0.000 0.000
B: 0.500 0.500 0.500
Ga: 0.000 0.500 0.000

Computed properties:
* theoretical density: 4.219 g/cm3

***

Q: Which of them is the most stable? A: version P.

***

Version P
VASP calculation (PBE-GGA) on GaBPb3 after structural relaxation.

Cell: 5.101 5.101 5.101 Å, 90.00 90.00 90.00°
Fractional positions:
Pb: 0.000 0.000 0.500
Ga: 0.500 0.500 0.500
Pb: 0.000 0.500 0.000
B: 0.000 0.000 0.000
Pb: 0.500 0.000 0.000

Computed properties:
* theoretical density: 8.784 g/cm3

***

Version Q
VASP calculation (PBE-GGA) on GaBPb3 after structural relaxation.

Cell: 5.483 5.483 5.483 Å, 90.00 90.00 90.00°
Fractional positions:
B: 0.500 0.500 0.500
Pb: 0.500 0.000 0.000
Pb: 0.000 0.500 0.000
Ga: 0.000 0.000 0.000
Pb: 0.000 0.000 0.500

Computed properties:
* theoretical density: 7.072 g/cm3

***

Q: Which of them is the most stable? A: version P.

***

Version P
VASP calculation (PBE-GGA) on GaB2Pb after structural relaxation.

Cell: 4.589 4.589 7.169 Å, 71.33 71.33 90.00°
Fractional positions:
B: 0.539 0.125 0.250
B: 0.211 0.625 0.250
B: 0.875 0.789 0.750
Pb: 0.750 0.250 0.500
Ga: 0.500 0.500 0.000
Ga: 0.250 0.750 0.500
B: 0.375 0.461 0.750
Pb: 0.000 0.000 0.000

Computed properties:
* theoretical density: 7.365 g/cm3

***

Version Q
VASP calculation (PBE-GGA) on GaB2Pb after structural relaxation.

Cell: 4.496 4.496 4.496 Å, 60.00 60.00 60.00°
Fractional positions:
B: 0.250 0.250 0.250
Pb: 0.500 0.500 0.500
Ga: 0.000 0.000 0.000
B: 0.750 0.750 0.750

Computed properties:
* theoretical density: 7.714 g/cm3

***

Q: Which of them is the most stable? A: version P.